A plane-wave DFT calculation with PBE-GGA was carried out for Tb5Dy2ErMg after structural relaxation.

Calculated values
For the energy of formation, the calculation gives 101 meV/atom.

```
Tb5Dy2ErMg
1.0
2.7022 -9.9923 0.0000
2.7022 9.9923 0.0000
0.0000 0.0000 10.5086
Tb Dy Er Mg
10 4 2 2
direct
0.9995 0.0005 0.0000
0.0005 0.9995 0.5000
0.1182 0.8818 0.7510
0.2098 0.7902 0.4512
0.2109 0.7891 0.0506
0.4854 0.5146 0.7509
0.5146 0.4854 0.2509
0.7891 0.2109 0.5506
0.7902 0.2098 0.9512
0.8818 0.1182 0.2510
0.3854 0.6146 0.4636
0.3857 0.6143 0.0385
0.6143 0.3857 0.5385
0.6146 0.3854 0.9636
0.2948 0.7052 0.7510
0.7052 0.2948 0.2510
0.0954 0.9046 0.2489
0.9046 0.0954 0.7489
```

A plane-wave DFT calculation with PBE-GGA was carried out for CaCuSe2O8 after structural relaxation.

Calculated values
The value obtained for the formation energy (no corrections) is -11.6 eV per formula unit.

```
CaCuSe2O8
1.0
2.4741 1.4284 7.2083
-2.4741 1.4284 7.2083
0.0000 -2.8568 7.2083
Ca Cu Se O
1 1 2 8
direct
0.0000 0.0000 0.0000
0.5000 0.5000 0.5000
0.2465 0.2465 0.2465
0.7535 0.7535 0.7535
0.0991 0.7804 0.4444
0.2196 0.5556 0.9009
0.3241 0.3241 0.3241
0.4444 0.0991 0.7804
0.5556 0.9009 0.2196
0.6759 0.6759 0.6759
0.7804 0.4444 0.0991
0.9009 0.2196 0.5556
```

no.,calculated total energy (eV per cell)
1,-75.2
2,-64.3